9
Lattice="-1.1698 -2.1464 3.9181 1.6676 -4.2084 0.9141 3.2758 1.7146 1.9171" Properties=species:S:1:pos:R:3 comment="PmCoH6Pd (PBE, relaxed)" magmom_total_mub_per_fu=0.00 spacegroup="P-6m2 (187)" energy_ev_per_atom=-4.4526 pbc="T T T"
H 1.5470 -1.6903 1.0494
Pm 2.1060 -0.4318 5.8351
H 0.2893 -0.7794 2.3836
Pd 1.9698 -3.3792 4.1800
H 2.7239 -1.7549 3.7813
H 1.9869 0.1107 3.3722
H 1.0307 -2.6451 2.7852
H 3.2449 -0.8067 2.0432
Co 1.8038 -1.2609 2.5691

---

12
Lattice="4.6284 0.4543 0.5003 0.4960 4.1279 0.9317 0.8215 1.3363 5.7153" Properties=species:S:1:pos:R:3 comment="PmCoH8Pd2 (PBE, relaxed)" magmom_total_mub_per_fu=0.00 spacegroup="P-1 (2)" energy_ev_per_atom=-4.2603 pbc="T T T"
H 1.1727 0.8830 0.5793
H 3.7315 1.3834 1.4560
H 3.3885 3.8428 3.5578
H 5.0358 2.8279 5.0591
Co 0.0000 0.0000 0.0000
Pm 0.4107 0.6682 2.8576
Pd 3.0885 3.0358 5.0428
H 4.7732 5.0356 6.5680
H 2.5574 2.0757 3.5894
H 0.9100 3.0906 2.0882
H 2.2144 4.5351 5.6913
Pd 2.8574 2.8827 2.1045

---

9
Lattice="4.6538 0.0001 -0.0001 2.3270 4.0303 0.0001 0.0001 -0.0001 4.2170" Properties=species:S:1:pos:R:3 comment="PrCoH6Pd (PBE, relaxed)" magmom_total_mub_per_fu=0.06 spacegroup="P-6m2 (187)" energy_ev_per_atom=-4.4612 pbc="T T T"
Pr 4.6538 0.0000 4.2169
H 3.3584 1.9401 1.0388
H 2.3260 0.1518 3.1780
H 1.2944 1.9385 1.0389
H 2.3277 0.1518 1.0388
H 1.2953 1.9400 3.1781
Pd 4.6539 2.6869 2.1084
Co 2.3268 1.3434 2.1085
H 3.3594 1.9385 3.1781

---

10
Lattice="5.2691 -0.0107 0.0021 -0.0107 5.2691 0.0019 -2.6282 -2.6281 3.6947" Properties=species:S:1:pos:R:3 comment="Pr2CoH6Pd (PBE, relaxed)" magmom_total_mub_per_fu=0.58 spacegroup="Fmmm (69)" energy_ev_per_atom=-4.6737 pbc="T T T"
H -1.4509 1.4556 3.6959
Co 2.6409 -2.6362 3.6960
Pd 0.0009 0.0037 3.6959
H -1.4419 -1.4391 3.6939
H 1.4528 -1.4481 3.6960
Pr 2.6355 -0.0027 1.8486
Pr -0.0053 2.6382 1.8485
H -0.0015 0.0012 1.6798
H 4.0720 4.0747 0.0033
H 2.6316 2.6343 2.0173

---

5
Lattice="-2.9799 2.5444 0.3014 -1.5962 -2.2052 2.8344 1.9935 2.0160 2.6912" Properties=species:S:1:pos:R:3 comment="CoHPd2Pt (PBE, relaxed)" relative_energy_mev_per_atom=0 magmom_total_mub_per_fu=2.73 spacegroup="P4/mmm (123)" energy_ev_per_atom=-5.3400 pbc="T T T"
Pt -1.2913 1.1776 2.9135
H 0.0000 0.0000 0.0000
Co 0.9967 1.0080 1.3456
Pd -0.7981 -1.1026 1.4172
Pd -1.4900 1.2722 0.1507

---

5
Lattice="3.9496 0.0000 0.0000 0.0000 3.9496 0.0000 0.0000 0.0000 3.9422" Properties=species:S:1:pos:R:3 comment="CoHPd2Pt (PBE, relaxed)" relative_energy_mev_per_atom=16 magmom_total_mub_per_fu=2.92 spacegroup="P4/mmm (123)" energy_ev_per_atom=-5.3238 pbc="T T T"
Pd 0.0000 1.9748 0.0000
H 0.0000 0.0000 0.0000
Pd 1.9748 0.0000 0.0000
Co 1.9748 1.9748 1.9711
Pt 0.0000 0.0000 1.9711

---

9
Lattice="-3.6603 -1.2240 -2.4505 -2.7377 -3.3427 1.4943 -2.2856 2.7779 2.0266" Properties=species:S:1:pos:R:3 comment="PuCoH6Pd (PBE, relaxed)" magmom_total_mub_per_fu=4.45 spacegroup="P-6m2 (187)" energy_ev_per_atom=-5.3890 pbc="T T T"
Co -3.2756 -0.1334 0.6945
H -2.3929 -0.0630 -0.6587
H -3.2043 0.4770 2.1903
H -1.9804 -1.0103 1.1052
H -3.6167 1.4244 0.4266
Pd -5.4081 -1.6555 0.3758
Pu -5.9458 1.5539 -0.4239
H -3.6170 -1.5577 0.0096
H -4.8408 -0.0702 1.0946

---

10
Lattice="-3.2372 -2.9303 -2.6775 2.5662 -4.0526 1.7913 -1.9427 3.3432 3.3626" Properties=species:S:1:pos:R:3 comment="Pu2CoH6Pd (PBE, relaxed)" magmom_total_mub_per_fu=11.61 spacegroup="I4/mmm (139)" energy_ev_per_atom=-6.4334 pbc="T T T"
H -2.4564 -2.0122 2.6836
H -1.5964 -3.5768 1.1751
H -2.0965 1.7119 3.1560
Pu 0.1453 -2.1016 2.3549
Pu -2.7555 -1.5420 0.1221
H -0.6675 -0.4624 4.1590
H -3.8854 0.1620 1.6806
Co -5.1781 0.4110 0.6854
Pd -2.2764 -0.1502 2.9198
H -1.0139 -0.0667 1.3018